VASP calculation (PBE) on Hf2MgCd after structural relaxation.

Values from the calculation:
Final energy ... -45.5 eV/cell
V ... 88 Å³/f.u.
ρ ... 9341 kg/m³
Symmetry ... Pmma (51)

Lattice parameters (Å, degrees): 4.366 4.279 9.396 90.00 90.00 90.00
Fractional coordinates of all 8 atoms:
Hf 0.250 0.000 0.114
Hf 0.250 0.500 0.884
Hf 0.750 0.000 0.886
Hf 0.750 0.500 0.116
Mg 0.250 0.500 0.378
Mg 0.750 0.500 0.622
Cd 0.250 0.000 0.624
Cd 0.750 0.000 0.376